Entry 1:
BeAgRh2: relaxed, PBE-GGA.

Unit cell a=2.7565 b=3.3921 c=6.1680 alpha=90.00 beta=102.71 gamma=90.00
With the nearest neighbours (Å) after each atom.
Space group Pm (No. 6)
Inequivalent atoms, fractional coordinates:
Be (0.0000, 0.0000, 0.0000) x1  5 Rh 2.30-2.37, 2 Ag 2.49
Ag (0.8424, 0.5000, 0.6982) x1  2 Be 2.49, 2 Ag 2.76
Rh (0.1917, 0.0000, 0.3931) x1  1 Be 2.37
Rh (0.5584, 0.5000, 0.1223) x1  4 Be 2.30-2.31

Results
As for the energy relative to the elements: 0.033 eV/atom. The crystal system is monoclinic.


Entry 2:
HfCo2Os2: relaxed, PBE-GGA.

Unit cell a=7.2315 b=7.2315 c=2.6853 alpha=90.00 beta=90.00 gamma=90.00
With the nearest neighbours (Å) after each atom.
Space group P4/mbm (No. 127)
Inequivalent atoms, fractional coordinates:
Hf (0.0000, 0.0000, 0.0000) x2  2 Hf 2.69, 4 Co 2.89, 8 Os 2.98
Co (0.1173, 0.3827, 0.0000) x4  3 Co 2.40-2.69, 6 Os 2.49-2.56
Os (0.1775, 0.6775, 0.5000) x4  6 Co 2.49-2.56, 2 Os 2.69

Results
As for the energy relative to the elements: 0.011 eV/atom. The crystal system is tetragonal. The calculation puts the offset from the most stable computed form at 0.00 eV per formula unit.


Entry 3:
Y3Ta: relaxed, PBE-GGA.

Unit cell a=3.3342 b=4.7284 c=6.9195 alpha=90.00 beta=90.14 gamma=90.00
With the nearest neighbours (Å) after each atom.
Space group P2/m (No. 10)
Inequivalent atoms, fractional coordinates:
Y (0.0000, 0.0000, 0.0000) x1  10 Y 3.33-3.47, 2 Ta 3.46
Y (0.5001, 0.5000, 0.2763) x2  5 Y 3.10-3.47, 4 Ta 3.28
Ta (0.0000, 0.0000, 0.5000) x1  10 Y 3.28-3.46, 2 Ta 3.33

Results
As for the energy relative to the elements: 0.336 eV/atom. The crystal system is monoclinic. The calculation puts the offset from the most stable computed form at 0.27 eV per formula unit.


Entry 4:
LiSc5Cu6: relaxed, PBE-GGA.

Unit cell a=14.4134 b=6.4990 c=4.5466 alpha=90.00 beta=108.34 gamma=90.00
With the nearest neighbours (Å) after each atom.
Space group C2/m (No. 12)
Inequivalent atoms, fractional coordinates:
Li (0.0000, 0.0000, 0.0000) x2  8 Cu 2.81-2.85
Sc (0.0000, 0.5000, 0.0000) x2  8 Cu 2.78-2.82
Sc (0.1624, 0.0000, 0.6625) x4  8 Cu 2.77-2.82
Sc (0.1677, 0.5000, 0.6670) x4  8 Cu 2.77-2.80
Cu (0.0000, 0.2542, 0.5000) x4  6 Sc 2.77-2.80, 2 Li 2.81
Cu (0.1697, 0.2547, 0.1684) x8  7 Sc 2.77-2.82, 1 Li 2.85

Results
As for the energy relative to the elements: -0.213 eV/atom. The crystal system is monoclinic.


Entry 5:
RuWAu4: relaxed, PBE-GGA.

Unit cell a=7.5381 b=7.5381 c=7.5381 alpha=90.00 beta=90.00 gamma=90.00
With the nearest neighbours (Å) after each atom.
Space group F-43m (No. 216)
Inequivalent atoms, fractional coordinates:
Ru (0.0000, 0.0000, 0.0000) x4  12 Au 3.13, 4 W 3.26
W (0.2500, 0.2500, 0.7500) x4  12 Au 3.13, 4 Ru 3.26
Au (0.1250, 0.1250, 0.3750) x16  6 Au 2.66-2.67

Results
As for the energy relative to the elements: 0.840 eV/atom. The crystal system is cubic.


Entry 6:
Ac8HgGe3Te4: relaxed, PBE-GGA.

Unit cell a=9.3424 b=9.3424 c=23.4575 alpha=90.00 beta=90.00 gamma=120.00
With the nearest neighbours (Å) after each atom.
Space group R-3m (No. 166, hexagonal axes)
Inequivalent atoms, fractional coordinates:
Ac (0.0000, 0.0000, 0.2410) x6  3 Ge 3.21, 3 Te 3.46
Ac (0.0100, 0.5050, 0.7562) x18  2 Ge 3.21, 1 Hg 3.31, 3 Te 3.36-3.45
Hg (0.0000, 0.0000, 0.5000) x3  6 Ac 3.31
Ge (0.0000, 0.5000, 0.5000) x9  6 Ac 3.21
Te (0.0000, 0.0000, 0.0000) x3  6 Ac 3.36
Te (0.0000, 0.5000, 0.0000) x9  6 Ac 3.45-3.46

Results
The crystal system is trigonal. The value obtained for the uncorrected formation energy is -1118.9 meV per atom.


Entry 7:
Na2Sr2AgSn4: relaxed, PBE-GGA.

Unit cell a=7.1442 b=7.1442 c=10.2279 alpha=90.00 beta=90.00 gamma=90.00
With the nearest neighbours (Å) after each atom.
Space group I4/mmm (No. 139)
Inequivalent atoms, fractional coordinates:
Na (0.0000, 0.0000, 0.2270) x4  1 Ag 2.79
Sr (0.0000, 0.5000, 0.2500) x4  4 Na 3.58, 8 Sn 3.61
Ag (0.0000, 0.0000, 0.5000) x2  2 Na 2.79, 4 Sn 2.82
Sn (0.2211, 0.2211, 0.0000) x8  1 Ag 2.82

Results
As for the energy relative to the elements: -0.313 eV/atom. The crystal system is tetragonal.


Entry 8:
Mn2SiW: relaxed, PBE-GGA.

Unit cell a=3.3362 b=4.1912 c=7.4391 alpha=90.00 beta=90.00 gamma=90.00
With the nearest neighbours (Å) after each atom.
Space group Cmm2 (No. 35)
Inequivalent atoms, fractional coordinates:
Mn (0.0000, 0.0000, 0.0000) x2  6 Mn 2.46-2.68, 2 W 2.60
Mn (0.0000, 0.5000, 0.2435) x2  2 Si 2.33, 2 Mn 2.46
Si (0.0000, 0.0000, 0.4631) x2  2 Mn 2.33, 2 W 2.61
W (0.0000, 0.5000, 0.7323) x2  4 Mn 2.60-2.89, 4 Si 2.61-2.90, 4 W 2.68

Results
The crystal system is orthorhombic. The value obtained for the uncorrected formation energy is 91.7 meV per atom.